VASP calculation (GGA+U) on an optimized crystal structure of LiV2F9.

a = 5.623 Å, b = 7.473 Å, c = 9.076 Å
α = 107.45°, β = 84.09°, γ = 109.16°
Positions (direct):
Li: 0.810 0.726 0.896
Li: 0.190 0.274 0.104
V: 0.350 0.295 0.705
V: 0.648 0.204 0.303
V: 0.352 0.796 0.697
V: 0.650 0.705 0.295
F: 0.376 0.147 0.183
F: 0.717 0.679 0.087
F: 0.751 0.472 0.278
F: 0.434 0.279 0.484
F: 0.671 0.461 0.751
F: 0.956 0.863 0.349
F: 0.105 0.721 0.566
F: 0.467 0.066 0.681
F: 0.848 0.137 0.132
F: 0.152 0.863 0.868
F: 0.533 0.934 0.319
F: 0.895 0.279 0.434
F: 0.044 0.137 0.651
F: 0.329 0.539 0.249
F: 0.566 0.721 0.516
F: 0.249 0.528 0.722
F: 0.283 0.321 0.913
F: 0.624 0.853 0.817

DOS(E_F) = 0.00 states/eV/cell
crystal system = triclinic
offset from the most stable computed form = 0.000 eV/f.u.